Li6SnAu12: relaxed, PBE.

Structure (POSCAR):
```
Li6SnAu12
1.0
-4.4820 4.4736 3.1161
-4.1004 -5.7105 -3.0279
-3.7698 -3.8515 5.4356
Au Li Sn
12 6 1
direct
0.8317 0.9491 0.4315
0.2073 0.7211 0.1241
0.7927 0.2789 0.8759
0.8827 0.6194 0.9491
0.2632 0.4315 0.6194
0.3315 0.1241 0.1548
0.5138 0.8452 0.2789
0.7368 0.5685 0.3806
0.4862 0.1548 0.7211
0.6685 0.8759 0.8452
0.1173 0.3806 0.0509
0.1683 0.0509 0.5685
0.3633 0.7865 0.6917
0.6367 0.2135 0.3083
0.0549 0.6917 0.5219
0.9451 0.3083 0.4781
0.4232 0.4781 0.2135
0.5768 0.5219 0.7865
0.0000 0.0000 0.0000
```

Calculated values
magnetization: 0.0 Bohr magnetons per cell
DOS(E_F): 6.7 states/eV/f.u.
energy relative to the lowest polymorph listed for this composition: 0 meV/atom
raw total energy: -3.261 eV/atom